(1)
# La5Sm2Tm2

A relaxed structure of La5Sm2Tm2 (GGA-PBE, the Alexandria database).

Cell and atoms, written as CIF:
```
data_La5Sm2Tm2
_chemical_formula_sum 'La10 Sm4 Tm4'
_space_group_name_H-M_alt 'C 1 2/m 1'
_space_group_IT_number 12
_space_group_name_Hall '-C 2y'
_cell_length_a 11.6468
_cell_length_b 5.1678
_cell_length_c 10.9729
_cell_angle_alpha 90.00
_cell_angle_beta 108.90
_cell_angle_gamma 90.00
loop_
_atom_site_label
_atom_site_fract_x
_atom_site_fract_y
_atom_site_fract_z
La1 0.0000 0.0000 0.0000
La2 0.1658 0.5000 0.8888
La3 0.1669 0.5000 0.5545
Sm1 0.9997 0.0000 0.3323
Tm1 0.1685 0.5000 0.2240
```

Results
Calculated volume   312.4 Å³/f.u.
Magnetization   0.003 μB per cell
Calculated formation energy   0.03 eV per atom
Energy above the lowest structure with this stoichiometry   0.000 eV per atom

---

(2)
# LaSm4Tm3

A relaxed structure of LaSm4Tm3 (GGA-PBE, the Alexandria database).

Cell and atoms, written as CIF:
```
data_LaSm4Tm3
_chemical_formula_sum 'La2 Sm8 Tm6'
_space_group_name_H-M_alt 'P m n 21'
_space_group_IT_number 31
_space_group_name_Hall 'P 2ac -2'
_cell_length_a 11.4853
_cell_length_b 7.3219
_cell_length_c 6.3135
_cell_angle_alpha 90.00
_cell_angle_beta 90.00
_cell_angle_gamma 90.00
loop_
_atom_site_label
_atom_site_fract_x
_atom_site_fract_y
_atom_site_fract_z
La1 0.0000 0.1255 0.0000
Sm1 0.0000 0.3744 0.5072
Sm2 0.0000 0.6294 0.9991
Sm3 0.2458 0.6262 0.3380
Tm1 0.0000 0.8763 0.5037
Tm2 0.2491 0.1223 0.3360
```

Results
Calculated volume   265.5 Å³/f.u.
Magnetization   0.000 μB per cell
Calculated formation energy   0.03 eV per atom
Energy above the lowest structure with this stoichiometry   0.000 eV per atom

---

(3)
# La3SmTm3

A relaxed structure of La3SmTm3 (GGA-PBE, the Alexandria database).

Cell and atoms, written as CIF:
```
data_La3SmTm3
_chemical_formula_sum 'La18 Sm6 Tm18'
_space_group_name_H-M_alt 'R -3'
_space_group_IT_number 148
_space_group_name_Hall '-R 3'
_cell_length_a 9.4446
_cell_length_b 9.4446
_cell_length_c 18.7422
_cell_angle_alpha 90.00
_cell_angle_beta 90.00
_cell_angle_gamma 120.00
loop_
_atom_site_label
_atom_site_fract_x
_atom_site_fract_y
_atom_site_fract_z
La1 0.0503 0.8070 0.0776
Sm1 0.0000 0.0000 0.4085
Tm1 0.0502 0.8155 0.2609
```

Results
Calculated volume   241.3 Å³/f.u.
Magnetization   0.000 μB per cell
Calculated formation energy   0.14 eV per atom
Energy above the lowest structure with this stoichiometry   0.104 eV per atom

---

(4)
# LaSm7Tm12

A relaxed structure of LaSm7Tm12 (GGA-PBE, the Alexandria database).

Cell and atoms, written as CIF:
```
data_LaSm7Tm12
_chemical_formula_sum 'La2 Sm14 Tm24'
_space_group_name_H-M_alt 'I m -3 m'
_space_group_IT_number 229
_space_group_name_Hall '-I 4 2 3'
_cell_length_a 11.1997
_cell_length_b 11.1997
_cell_length_c 11.1997
_cell_angle_alpha 90.00
_cell_angle_beta 90.00
_cell_angle_gamma 90.00
loop_
_atom_site_label
_atom_site_fract_x
_atom_site_fract_y
_atom_site_fract_z
La1 0.0000 0.0000 0.0000
Sm1 0.0000 0.0000 0.5000
Sm2 0.2500 0.2500 0.2500
Tm1 0.0000 0.2538 0.2538
```

Results
Calculated volume   702.4 Å³/f.u.
Magnetization   0.000 μB per cell
Calculated formation energy   0.66 eV per atom

---

(5)
# La3Sm4Tm4

A relaxed structure of La3Sm4Tm4 (GGA-PBE, the Alexandria database).

Cell and atoms, written as CIF:
```
data_La3Sm4Tm4
_chemical_formula_sum 'La6 Sm8 Tm8'
_space_group_name_H-M_alt 'I m m m'
_space_group_IT_number 71
_space_group_name_Hall '-I 2 2'
_cell_length_a 3.6267
_cell_length_b 5.0993
_cell_length_c 39.5483
_cell_angle_alpha 90.00
_cell_angle_beta 90.00
_cell_angle_gamma 90.00
loop_
_atom_site_label
_atom_site_fract_x
_atom_site_fract_y
_atom_site_fract_z
La1 0.0000 0.0000 0.0000
La2 0.0000 0.0000 0.3627
Sm1 0.0000 0.0000 0.1840
Sm2 0.0000 0.0000 0.4535
Tm1 0.0000 0.0000 0.0911
Tm2 0.0000 0.0000 0.2717
```

Results
Calculated volume   365.7 Å³/f.u.
Magnetization   0.000 μB per cell
Calculated formation energy   0.03 eV per atom
Energy above the lowest structure with this stoichiometry   0.000 eV per atom

---

(6)
# LaSm8Tm2

A relaxed structure of LaSm8Tm2 (GGA-PBE, the Alexandria database).

Cell and atoms, written as CIF:
```
data_LaSm8Tm2
_chemical_formula_sum 'La2 Sm16 Tm4'
_space_group_name_H-M_alt 'I m m m'
_space_group_IT_number 71
_space_group_name_Hall '-I 2 2'
_cell_length_a 5.6301
_cell_length_b 8.3008
_cell_length_c 15.9597
_cell_angle_alpha 90.00
_cell_angle_beta 90.00
_cell_angle_gamma 90.00
loop_
_atom_site_label
_atom_site_fract_x
_atom_site_fract_y
_atom_site_fract_z
La1 0.0000 0.0000 0.0000
Sm1 0.0000 0.2039 0.5000
Sm2 0.0000 0.2962 0.1400
Sm3 0.0000 0.5000 0.3359
Tm1 0.0000 0.0000 0.3003
```

Results
Calculated volume   372.9 Å³/f.u.
Magnetization   0.000 μB per cell
Calculated formation energy   0.11 eV per atom
Energy above the lowest structure with this stoichiometry   0.000 eV per atom

---

(7)
# LaSm4Tm3

A relaxed structure of LaSm4Tm3 (GGA-PBE, the Alexandria database).

Cell and atoms, written as CIF:
```
data_LaSm4Tm3
_chemical_formula_sum 'La2 Sm8 Tm6'
_space_group_name_H-M_alt 'I m m m'
_space_group_IT_number 71
_space_group_name_Hall '-I 2 2'
_cell_length_a 3.4621
_cell_length_b 11.7203
_cell_length_c 12.9685
_cell_angle_alpha 90.00
_cell_angle_beta 90.00
_cell_angle_gamma 90.00
loop_
_atom_site_label
_atom_site_fract_x
_atom_site_fract_y
_atom_site_fract_z
La1 0.0000 0.0000 0.0000
Sm1 0.0000 0.2505 0.1339
Tm1 0.0000 0.0000 0.5000
Tm2 0.0000 0.5000 0.2577
```

Results
Calculated volume   263.1 Å³/f.u.
Magnetization   0.000 μB per cell
Calculated formation energy   0.14 eV per atom
Energy above the lowest structure with this stoichiometry   0.112 eV per atom

---

(8)
# LaSm7Tm3

A relaxed structure of LaSm7Tm3 (GGA-PBE, the Alexandria database).

Cell and atoms, written as CIF:
```
data_LaSm7Tm3
_chemical_formula_sum 'La2 Sm14 Tm6'
_space_group_name_H-M_alt 'P 1 21/m 1'
_space_group_IT_number 11
_space_group_name_Hall '-P 2yb'
_cell_length_a 7.0112
_cell_length_b 11.0978
_cell_length_c 10.1770
_cell_angle_alpha 90.00
_cell_angle_beta 109.68
_cell_angle_gamma 90.00
loop_
_atom_site_label
_atom_site_fract_x
_atom_site_fract_y
_atom_site_fract_z
La1 0.0000 0.0000 0.0000
Sm1 0.0906 0.0434 0.6776
Sm2 0.1713 0.7500 0.8192
Sm3 0.3029 0.2500 0.1096
Sm4 0.3682 0.7500 0.1797
Sm5 0.4219 0.0157 0.3324
Tm1 0.2423 0.2500 0.4744
Tm2 0.2678 0.7500 0.5117
Tm3 0.5000 0.0000 0.0000
```

Results
Calculated volume   372.8 Å³/f.u.
Magnetization   0.000 μB per cell
Calculated formation energy   0.12 eV per atom
Energy above the lowest structure with this stoichiometry   0.000 eV per atom